AcPu2PaS8: optimized geometry, PBE.

Computed properties:
Its density of states at the Fermi level is 17.08 states/eV/cell. For the formation energy without anion corrections, the calculation gives -1.4965 eV/atom. Its space group is P2/m. The value obtained for the mass density is 5.95 g cm⁻³. As for the magnetization: 8.000 μB per formula unit.

abc: 6.267 8.473 6.318
angles: 90.00 90.08 90.00
Element x y z (fractional)
Ac 0.000 0.000 0.000
Pu 0.500 0.253 0.500
Pu 0.500 0.747 0.500
Pa 0.000 0.500 0.000
S 0.239 0.276 0.156
S 0.239 0.724 0.156
S 0.274 0.500 0.660
S 0.276 0.000 0.620
S 0.724 0.000 0.380
S 0.726 0.500 0.340
S 0.761 0.276 0.844
S 0.761 0.724 0.844


Nd3P2: optimized geometry, PBE.

Computed properties:
Its density of states at the Fermi level is 10.37 states/eV/cell. Its relative energy among the computed polymorphs is 48 meV per atom. As for the energy of formation: -1.136 eV/atom. Its space group is R-3c. The value obtained for the mass density is 5.61 g cm⁻³. As for the magnetization: 0.000 μB per formula unit.

abc: 7.883 7.883 7.883
angles: 53.37 53.37 53.37
Element x y z (fractional)
Nd 0.076 0.750 0.424
Nd 0.250 0.576 0.924
Nd 0.424 0.076 0.750
Nd 0.576 0.924 0.250
Nd 0.750 0.424 0.076
Nd 0.924 0.250 0.576
P 0.162 0.162 0.162
P 0.338 0.338 0.338
P 0.662 0.662 0.662
P 0.838 0.838 0.838


K2ThUS6: optimized geometry, PBE.

Computed properties:
For the formation energy without anion corrections, the calculation gives -1.4622 eV/atom. Its space group is P2_1/c. The value obtained for the mass density is 4.29 g cm⁻³. As for the magnetization: 0.000 μB per formula unit.

abc: 7.359 7.431 12.797
angles: 90.00 124.98 90.00
Element x y z (fractional)
K 0.243 0.034 0.250
K 0.243 0.466 0.750
K 0.757 0.534 0.250
K 0.757 0.966 0.750
Th 0.500 0.000 0.000
Th 0.500 0.500 0.500
U 0.000 0.000 0.500
U 0.000 0.500 0.000
S 0.173 0.224 0.969
S 0.173 0.276 0.469
S 0.246 0.705 0.970
S 0.246 0.795 0.470
S 0.299 0.010 0.740
S 0.299 0.490 0.240
S 0.701 0.510 0.760
S 0.701 0.990 0.260
S 0.754 0.205 0.530
S 0.754 0.295 0.030
S 0.827 0.724 0.531
S 0.827 0.776 0.031


K2NpInO6: optimized geometry, PBE.

Computed properties:
For the formation energy without anion corrections, the calculation gives -2.1434 eV/atom. Its space group is Fm-3m. The value obtained for the mass density is 5.79 g cm⁻³. As for the magnetization: 0.000 μB per formula unit.

abc: 5.976 5.976 5.976
angles: 60.00 60.00 60.00
Element x y z (fractional)
K 0.250 0.250 0.250
K 0.750 0.750 0.750
Np 0.000 0.000 0.000
In 0.500 0.500 0.500
O 0.240 0.240 0.760
O 0.240 0.760 0.240
O 0.240 0.760 0.760
O 0.760 0.240 0.240
O 0.760 0.240 0.760
O 0.760 0.760 0.240